[1]
Entry from Alexandria: Tm2ZnOsC after structural relaxation (PBE).

The structure in POSCAR format:
```
Tm2ZnOsC
1.0
-1.443 1.424 3.327
3.603 -2.123 2.472
2.716 3.993 -0.531
Tm Zn Os C
2 1 1 1
direct
0.000 0.000 0.500
0.000 0.500 0.000
0.500 0.500 0.500
0.500 0.000 0.000
0.000 0.000 0.000
```

[2]
Entry from Alexandria: UOsC after structural relaxation (PBE).

The structure in POSCAR format:
```
UOsC
1.0
5.694 0.375 0.000
-1.814 5.410 0.000
-1.940 -2.892 5.578
U C Os
4 4 4
direct
0.625 0.375 0.250
0.125 0.375 0.750
0.625 0.375 0.750
0.625 0.875 0.250
0.075 0.925 0.500
0.825 0.175 0.000
0.425 0.575 0.500
0.175 0.825 0.000
0.129 0.629 0.259
0.121 0.121 0.241
0.879 0.879 0.759
0.371 0.871 0.741
```

[3]
Entry from Alexandria: U2OsC after structural relaxation (PBE).

The structure in POSCAR format:
```
U2OsC
1.0
3.475 0.000 0.000
1.738 3.010 0.000
1.738 1.003 6.712
Os C U
1 1 2
direct
0.000 0.000 0.000
0.500 0.500 0.500
0.763 0.763 0.712
0.237 0.237 0.288
```

[4]
Entry from Alexandria: U2OsC2 after structural relaxation (PBE).

The structure in POSCAR format:
```
U2OsC2
1.0
-5.855 3.292 -0.241
-5.934 -0.679 -3.084
5.071 -2.634 3.539
U Os C
2 1 2
direct
0.646 0.646 0.000
0.354 0.354 0.000
0.000 0.000 0.000
0.829 0.829 0.000
0.171 0.171 0.000
```

[5]
Entry from Alexandria: U2OsC after structural relaxation (PBE).

The structure in POSCAR format:
```
U2OsC
1.0
-2.745 0.966 0.554
-0.341 -2.131 2.029
2.534 4.344 4.986
Os C U
1 1 2
direct
0.500 0.500 0.500
0.500 0.500 0.000
0.000 0.000 0.791
0.000 0.000 0.209
```

[6]
Entry from Alexandria: Y2UOsC4 after structural relaxation (PBE).

The structure in POSCAR format:
```
Y2UOsC4
1.0
-2.924 -0.555 1.755
1.858 -5.451 -2.028
6.349 -1.586 10.079
Y U Os C
4 2 2 8
direct
0.368 0.736 0.542
0.632 0.264 0.042
0.632 0.264 0.458
0.368 0.736 0.958
0.103 0.205 0.750
0.897 0.795 0.250
0.845 0.691 0.750
0.155 0.309 0.250
0.274 0.547 0.139
0.726 0.453 0.639
0.726 0.453 0.861
0.274 0.547 0.361
0.000 0.000 0.500
0.000 0.000 0.000
0.440 0.881 0.750
0.560 0.119 0.250
```

[7]
Entry from Alexandria: Zr2UOsC4 after structural relaxation (PBE).

The structure in POSCAR format:
```
Zr2UOsC4
1.0
3.353 0.000 0.000
-1.677 5.745 0.000
0.000 0.000 11.286
Zr U Os C
4 2 2 8
direct
0.369 0.738 0.541
0.631 0.262 0.041
0.631 0.262 0.459
0.369 0.738 0.959
0.113 0.227 0.750
0.887 0.773 0.250
0.856 0.711 0.750
0.144 0.289 0.250
0.268 0.537 0.128
0.732 0.463 0.628
0.732 0.463 0.872
0.268 0.537 0.372
0.000 0.000 0.500
0.000 0.000 0.000
0.453 0.907 0.750
0.547 0.093 0.250
```

[8]
Entry from Alexandria: V4OsC after structural relaxation (PBE).

The structure in POSCAR format:
```
V4OsC
1.0
-0.495 0.133 2.866
5.361 -0.670 0.957
0.283 5.475 -0.206
V Os C
4 1 1
direct
0.500 0.254 0.746
0.000 0.821 0.821
0.000 0.179 0.179
0.500 0.746 0.254
0.000 0.500 0.500
0.500 0.000 0.000
```

[9]
Entry from Alexandria: V3OsC after structural relaxation (PBE).

The structure in POSCAR format:
```
V3OsC
1.0
-3.276 -1.995 0.956
1.308 -0.370 3.712
-1.783 3.392 0.967
C Os V
1 1 3
direct
0.000 0.000 0.000
0.500 0.500 0.500
0.000 0.500 0.000
0.000 0.000 0.500
0.500 0.000 0.000
```

[10]
Entry from Alexandria: OsWC3 after structural relaxation (PBE).

The structure in POSCAR format:
```
OsWC3
1.0
-1.428 3.134 -1.864
-3.574 -0.804 1.386
0.726 2.206 3.153
C Os W
3 1 1
direct
0.000 0.500 0.000
0.000 0.000 0.500
0.500 0.000 0.000
0.000 0.000 0.000
0.500 0.500 0.500
```

[11]
Entry from Alexandria: OsW2C after structural relaxation (PBE).

The structure in POSCAR format:
```
OsW2C
1.0
3.006 0.000 0.000
1.503 2.603 0.000
1.503 0.868 6.772
C Os W
1 1 2
direct
0.000 0.000 0.000
0.500 0.500 0.500
0.726 0.726 0.823
0.274 0.274 0.177
```

[12]
Entry from Alexandria: OsW2C after structural relaxation (PBE).

The structure in POSCAR format:
```
OsW2C
1.0
-0.154 -2.309 -1.853
1.687 -0.059 -2.438
5.509 -3.960 2.105
Os W C
1 2 1
direct
0.499 0.499 0.503
0.062 0.062 0.815
0.273 0.273 0.181
0.666 0.666 0.001
```

Let's list formation energy from the elements in order: -419 409 79 -200 110 92 -219 260 -182 2453 137 90 meV/atom.